(1)
Material: CsZnN2
Method: DFT, PBE
State: relaxed

## Properties
Its formation energy without anion corrections is 0.980 eV per atom. The calculation puts the calculated total energy at -3.71 eV/atom. As for the distance to the lowest polymorph of the same formula: 0.000 eV per atom.

Unit cell a=5.0585 b=5.0585 c=12.1667 alpha=90.00 beta=90.00 gamma=90.00
Last column: nearest neighbours and their distance in Å.
Element x y z (fractional)
1 Cs 0.0000 0.2500 0.3750  8 N 3.21, 4 Zn 3.58
2 Cs 0.0000 0.7500 0.6250  8 N 3.21, 4 Zn 3.58
3 Cs 0.5000 0.2500 0.1250  8 N 3.21, 4 Zn 3.58
4 Cs 0.5000 0.7500 0.8750  8 N 3.21, 4 Zn 3.58
5 Zn 0.0000 0.2500 0.8750  4 N 1.98
6 Zn 0.0000 0.7500 0.1250  4 N 1.98
7 Zn 0.5000 0.2500 0.6250  4 N 1.98
8 Zn 0.5000 0.7500 0.3750  4 N 1.98
9 N 0.0000 0.0000 0.0000  2 Zn 1.98
10 N 0.0000 0.5000 0.0000  2 Zn 1.98
11 N 0.2500 0.2500 0.7500  2 Zn 1.98
12 N 0.2500 0.7500 0.2500  2 Zn 1.98
13 N 0.5000 0.0000 0.5000  2 Zn 1.98
14 N 0.5000 0.5000 0.5000  2 Zn 1.98
15 N 0.7500 0.2500 0.7500  2 Zn 1.98
16 N 0.7500 0.7500 0.2500  2 Zn 1.98

---

(2)
Material: ThMnCoSi2
Method: DFT, PBE
State: relaxed

## Properties
Its formation energy without anion corrections is -0.695 eV per atom. The calculation puts the calculated total energy at -7.60 eV/atom.

Unit cell a=4.0581 b=4.0581 c=9.6475 alpha=90.00 beta=90.00 gamma=90.00
Last column: nearest neighbours and their distance in Å.
Element x y z (fractional)
1 Th 0.0000 0.0000 0.0000  4 Mn 3.15, 4 Co 3.15, 10 Si 3.16-3.51
2 Th 0.5000 0.5000 0.5000  4 Mn 3.15, 4 Co 3.15, 10 Si 3.16-3.51
3 Mn 0.0000 0.5000 0.2500  4 Si 2.31
4 Mn 0.5000 0.0000 0.7500  4 Si 2.31
5 Co 0.0000 0.5000 0.7500  4 Si 2.31
6 Co 0.5000 0.0000 0.2500  4 Si 2.31
7 Si 0.0000 0.0000 0.3640  2 Mn 2.31, 2 Co 2.31
8 Si 0.0000 0.0000 0.6360  2 Mn 2.31, 2 Co 2.31
9 Si 0.5000 0.5000 0.1360  2 Mn 2.31, 2 Co 2.31
10 Si 0.5000 0.5000 0.8640  2 Mn 2.31, 2 Co 2.31

---

(3)
Material: La2ScCdFe
Method: DFT, PBE
State: relaxed

## Properties
For the formation energy, the calculation gives -0.06 eV per atom. The calculation puts the calculated total energy at -5.17 eV/atom.

Unit cell a=5.2267 b=5.2267 c=5.0316 alpha=90.00 beta=90.00 gamma=90.00
Last column: nearest neighbours and their distance in Å.
Element x y z (fractional)
1 La 0.0000 0.5000 0.0000  2 Fe 2.61
2 La 0.5000 0.0000 0.0000  2 Fe 2.61
3 Sc 0.0000 0.0000 0.5000  2 Fe 2.52
4 Cd 0.5000 0.5000 0.5000  8 La 3.63, 4 Sc 3.70
5 Fe 0.0000 0.0000 0.0000  2 Sc 2.52, 4 La 2.61

---

(4)
Material: TePCS2
Method: DFT, PBE
State: relaxed

## Properties
Its formation energy without anion corrections is 2.263 eV per atom. The calculation puts the calculated total energy at -2.94 eV/atom. As for the distance to the lowest polymorph of the same formula: 1.088 eV per atom.

Unit cell a=5.0513 b=5.0513 c=5.2648 alpha=90.00 beta=90.00 gamma=90.00
Last column: nearest neighbours and their distance in Å.
Element x y z (fractional)
1 Te 0.0000 0.0000 0.0000  4 S 2.53, 2 P 2.63
2 P 0.0000 0.0000 0.5000  2 Te 2.63
3 C 0.5000 0.5000 0.5000  4 P 3.57, 8 S 3.65
4 S 0.0000 0.5000 0.0000  2 Te 2.53
5 S 0.5000 0.0000 0.0000  2 Te 2.53

---

no.,magnetization (μB/f.u.)
1,1.41
2,0.00
3,0.00
4,0.07